Here is a geometry-optimized Sc2TaAu structure from Alexandria. Energies are from PBE-GGA.

a = 3.160 Å, b = 3.160 Å, c = 8.008 Å
α = 90.00°, β = 90.00°, γ = 89.98°
Positions (direct):
1 Au 0.500 0.500 0.750
2 Sc 0.000 0.000 0.988
3 Sc 0.000 0.000 0.512
4 Ta 0.500 0.500 0.250

Summary:
- space-group type = P4/mmm (123)
- energy relative to the elements (eV/atom) = -0.30


Here is a geometry-optimized AlCdRu3 structure from Alexandria. Energies are from PBE-GGA.

a = 4.844 Å, b = 4.844 Å, c = 4.844 Å
α = 90.00°, β = 90.00°, γ = 90.00°
Last column: magnetic moment on the atom in μB.
Positions (direct):
1 Ru 0.000 0.500 0.000  1.74
2 Ru 0.000 0.000 0.500  2.13
3 Ru 0.500 0.000 0.000  1.21
4 Al 0.500 0.500 0.500  -0.04
5 Cd 0.000 0.000 0.000  0.01

Summary:
- space-group type = Pm-3m (221)
- energy relative to the elements (eV/atom) = 2.12


no.,DOS(E_F) (states/eV/atom),magnetic moment (μB per cell),relative energy among the computed polymorphs (meV per atom)
1,0.9067,0.000,0
2,0.8260,5.016,1152